Entry 1:
A geometry-optimized La2CdCuBr structure. Source: the Alexandria database, functional PBE.

Cell lengths 5.5730, 5.5730, 5.1271 Å; angles 90.00, 90.00, 90.00 degrees
Closest atoms and distances in Å follow each position.
Positions (direct):
La1 0.0000 0.5000 0.0000  2 Cu 2.79
La2 0.5000 0.0000 0.0000  2 Cu 2.79
Cd1 0.0000 0.0000 0.5000  8 La 3.79, 4 Br 3.94
Cu1 0.5000 0.5000 0.0000  2 Br 2.56, 4 La 2.79
Br1 0.5000 0.5000 0.5000  2 Cu 2.56

The value obtained for the formation energy without anion corrections is 0.0098 eV per atom. Its symmetry is P4/mmm, No. 123.

Entry 2:
A geometry-optimized LiZnRu2 structure. Source: the Alexandria database, functional PBE.

Cell lengths 5.1491, 5.1491, 5.1491 Å; angles 148.03, 129.41, 61.11 degrees
Closest atoms and distances in Å follow each position.
Positions (direct):
Li1 0.0000 0.0000 0.0000  4 Zn 2.62, 4 Ru 2.67, 2 Li 2.84
Zn1 0.5000 0.5000 0.0000  4 Ru 2.59, 4 Li 2.62, 2 Zn 2.84
Ru1 0.2556 0.7556 0.5000  2 Zn 2.59, 6 Ru 2.62-2.84, 2 Li 2.67
Ru2 0.7444 0.2444 0.5000  2 Zn 2.59, 6 Ru 2.62-2.84, 2 Li 2.67

As for the formation energy: 0.132 eV/atom. Its symmetry is Immm, No. 71.

Entry 3:
A geometry-optimized BeRh5 structure. Source: the Alexandria database, functional PBE.

Cell lengths 2.7411, 2.7411, 10.4313 Å; angles 90.00, 90.00, 90.00 degrees
Closest atoms and distances in Å follow each position.
Positions (direct):
Be1 0.0000 0.0000 0.0000  8 Rh 2.38
Rh1 0.0000 0.0000 0.3182  12 Rh 2.71-2.74
Rh2 0.0000 0.0000 0.6818  12 Rh 2.71-2.74
Rh3 0.5000 0.5000 0.1330  4 Be 2.38
Rh4 0.5000 0.5000 0.5000  12 Rh 2.71-2.74
Rh5 0.5000 0.5000 0.8670  4 Be 2.38

As for the formation energy: -0.177 eV/atom. The calculation puts the energy above the lowest structure with this stoichiometry at 0 meV per atom. Its symmetry is P4/mmm, No. 123.

Entry 4:
A geometry-optimized Li2CrCu structure. Source: the Alexandria database, functional PBE.

Cell lengths 4.3825, 4.3825, 4.3825 Å; angles 120.87, 120.87, 88.50 degrees
Closest atoms and distances in Å follow each position.
Positions (direct):
Li1 0.0000 0.0000 0.0000  4 Cr 2.67, 4 Li 2.67
Li2 0.7500 0.2500 0.5000  4 Li 2.67, 4 Cu 2.67
Cr1 0.2500 0.7500 0.5000  4 Li 2.67, 4 Cu 2.67
Cu1 0.5000 0.5000 0.0000  4 Cr 2.67, 4 Li 2.67

As for the formation energy: 0.305 eV/atom. The calculation puts the energy above the lowest structure with this stoichiometry at 41 meV per atom. Its symmetry is I-4m2, No. 119.